1.
{"formula": "Ce5TmSe6", "functional": "PBE-GGA", "state": "optimized geometry", "cell": [[-4.6639, 5.3539, 1.2830], [-1.6264, 0.1564, 7.0351], [3.9629, 3.9951, 4.5346]], "species": ["Se", "Se", "Se", "Se", "Se", "Se", "Tm", "Ce", "Ce", "Ce", "Ce", "Ce"], "fractional_positions": [[0.2425, 0.5954, 0.3242], [0.2425, 0.9197, 0.6758], [0.7528, 0.7590, 0.0000], [0.2472, 0.2410, 0.0000], [0.7575, 0.4046, 0.6758], [0.7575, 0.0803, 0.3242], [0.0000, 0.0000, 0.0000], [0.0000, 0.6658, 0.6683], [0.5000, 0.5000, 0.0000], [0.5000, 0.1705, 0.6589], [0.5000, 0.8295, 0.3411], [0.0000, 0.3342, 0.3317]], "formation_energy_uncorrected_kj_per_mol_fu": -2078.4, "energy_ev_per_cell": -76.59}



2.
{"formula": "CeTm2Se4", "functional": "PBE-GGA", "state": "optimized geometry", "cell": [[-1.7787, 3.2012, -1.6730], [-2.0657, -0.2134, 6.6325], [10.7063, 7.8228, 3.5861]], "species": ["Tm", "Tm", "Tm", "Tm", "Se", "Se", "Se", "Se", "Se", "Se", "Se", "Se", "Ce", "Ce"], "fractional_positions": [[0.8682, 0.7364, 0.5658], [0.8682, 0.7364, 0.9342], [0.1318, 0.2636, 0.4342], [0.1318, 0.2636, 0.0658], [0.9548, 0.9096, 0.7500], [0.2280, 0.4560, 0.8806], [0.7720, 0.5440, 0.1194], [0.5000, 0.0000, 0.0000], [0.7720, 0.5440, 0.3806], [0.2280, 0.4560, 0.6194], [0.0452, 0.0904, 0.2500], [0.5000, 0.0000, 0.5000], [0.3798, 0.7596, 0.2500], [0.6202, 0.2404, 0.7500]], "formation_energy_uncorrected_kj_per_mol_fu": -1239.4, "energy_ev_per_cell": -83.32}



3.
{"formula": "CeTm2Se5", "functional": "PBE-GGA", "state": "optimized geometry", "cell": [[7.5706, 0.0000, 0.0000], [0.0000, 7.5706, 0.0000], [-3.7853, -3.7853, 6.5202]], "species": ["Tm", "Tm", "Tm", "Tm", "Se", "Se", "Se", "Se", "Se", "Se", "Se", "Se", "Se", "Se", "Ce", "Ce"], "fractional_positions": [[0.8440, 0.6560, 0.0000], [0.6560, 0.1560, 0.0000], [0.3440, 0.8440, 0.0000], [0.1560, 0.3440, 0.0000], [0.3040, 0.8040, 0.2944], [0.0097, 0.5097, 0.7056], [0.0000, 0.0000, 0.0000], [0.1960, 0.0097, 0.7056], [0.6960, 0.1960, 0.7056], [0.4903, 0.3040, 0.2944], [0.8040, 0.9903, 0.2944], [0.9903, 0.4903, 0.2944], [0.5097, 0.6960, 0.7056], [0.5000, 0.5000, 0.0000], [0.2500, 0.2500, 0.5000], [0.7500, 0.7500, 0.5000]], "formation_energy_uncorrected_kj_per_mol_fu": -1279.4, "energy_ev_per_cell": -91.12}



4.
{"formula": "CeTm2Se", "functional": "PBE-GGA", "state": "optimized geometry", "cell": [[3.5961, 0.0000, 0.0000], [1.7981, 3.1144, 0.0000], [1.7981, 1.0381, 10.3571]], "species": ["Tm", "Tm", "Ce", "Se"], "fractional_positions": [[0.8927, 0.8927, 0.3219], [0.1073, 0.1073, 0.6781], [0.0000, 0.0000, 0.0000], [0.5000, 0.5000, 0.5000]], "formation_energy_uncorrected_kj_per_mol_fu": -185.3, "energy_ev_per_cell": -20.28}